The following is a GGA-PBE calculation of a relaxed Er12MgNi5 crystal, from Alexandria via LeMat-Bulk.

```
data_Er12MgNi5
_chemical_formula_sum 'Er12 Mg1 Ni5'
_symmetry_space_group_name_H-M 'P 1'
_symmetry_Int_Tables_number 1
_symmetry_space_group_name_Hall 'P 1'
_cell_length_a 8.262
_cell_length_b 8.262
_cell_length_c 8.262
_cell_angle_alpha 111.51
_cell_angle_beta 110.38
_cell_angle_gamma 106.56
loop_
_atom_site_label
_atom_site_type_symbol
_atom_site_fract_x
_atom_site_fract_y
_atom_site_fract_z
Er1 Er 0.024 0.214 0.810
Er2 Er 0.181 0.291 0.473
Er3 Er 0.181 0.709 0.890
Er4 Er 0.322 0.015 0.693
Er5 Er 0.322 0.628 0.307
Er6 Er 0.404 0.214 0.190
Er7 Er 0.596 0.786 0.810
Er8 Er 0.678 0.372 0.693
Er9 Er 0.678 0.985 0.307
Er10 Er 0.819 0.291 0.110
Er11 Er 0.819 0.709 0.527
Er12 Er 0.976 0.786 0.190
Mg1 Mg 0.500 0.500 0.000
Ni1 Ni 0.000 0.000 0.000
Ni2 Ni 0.122 0.622 0.500
Ni3 Ni 0.363 0.000 0.363
Ni4 Ni 0.637 0.000 0.637
Ni5 Ni 0.878 0.378 0.500
```

Results
E_form (eV/atom): -0.29
SG: Immm, No. 71